1.
ThSnIr (PBE, optimized geometry); calculated formation energy = -0.452 eV/atom; volume = 168.31 Å³/cell; magnetization = 0.00 μB per cell; symmetry = No. 139; energy = -7.21 eV per atom
1.0
-0.9635 -3.3427 1.7999
3.7953 -0.8934 0.3726
-1.1567 7.2601 8.6019
Sn Th Ir
2 2 2
direct
0.5684 0.5684 0.1367
0.4316 0.4316 0.8633
0.1642 0.1642 0.3284
0.8358 0.8358 0.6716
0.6980 0.6980 0.3960
0.3020 0.3020 0.6040

---

2.
LaSmCoAg (PBE, optimized geometry); calculated formation energy = -0.069 eV/atom; volume = 95.50 Å³/cell; magnetization = 0.45 μB per cell; symmetry = No. 216; energy = -4.97 eV per atom
1.0
5.1306 0.0000 0.0000
2.5653 4.4432 0.0000
2.5653 1.4811 4.1891
Sm Co La Ag
1 1 1 1
direct
0.5000 0.5000 0.5000
0.7500 0.7500 0.7500
0.0000 0.0000 0.0000
0.2500 0.2500 0.2500

---

3.
CuBiIr (PBE, optimized geometry); calculated formation energy = 0.596 eV/atom; volume = 114.69 Å³/cell; magnetization = 0.00 μB per cell; symmetry = No. 38; energy = -5.02 eV per atom
1.0
3.2734 0.0000 0.0000
-1.6367 2.8245 0.0000
0.0000 0.0000 12.4044
Cu Ir Bi
2 2 2
direct
0.2721 0.5442 0.1393
0.2721 0.5442 0.8607
0.2835 0.5671 0.5000
0.6062 0.2123 0.0000
0.6163 0.2327 0.3261
0.6163 0.2327 0.6739

---

4.
CeY2TlC (PBE, optimized geometry); calculated formation energy = -0.391 eV/atom; volume = 121.60 Å³/cell; magnetization = 0.47 μB per cell; symmetry = No. 123; energy = -6.48 eV per atom
1.0
4.9160 0.0000 0.0000
0.0000 4.9735 0.0000
0.0000 0.0000 4.9735
Y C Tl Ce
2 1 1 1
direct
0.0000 0.0000 0.5000
0.0000 0.5000 0.0000
0.0000 0.0000 0.0000
0.5000 0.5000 0.5000
0.5000 0.0000 0.0000

---

5.
ScNiHg2Ge (PBE, optimized geometry); calculated formation energy = 0.341 eV/atom; volume = 115.70 Å³/cell; magnetization = 0.00 μB per cell; symmetry = No. 123; energy = -3.13 eV per atom
1.0
5.1409 0.0000 0.0000
0.0000 4.3777 0.0000
0.0000 0.0000 5.1409
Hg Sc Ge Ni
2 1 1 1
direct
0.5000 0.0000 0.0000
0.0000 0.0000 0.5000
0.5000 0.5000 0.5000
0.0000 0.0000 0.0000
0.0000 0.5000 0.0000

---

6.
Nb2V2Zn (PBE, optimized geometry); calculated formation energy = 0.171 eV/atom; volume = 161.81 Å³/cell; magnetization = 0.00 μB per cell; symmetry = No. 127; energy = -7.76 eV per atom
1.0
6.8047 0.0000 0.0000
0.0000 6.8047 0.0000
0.0000 0.0000 3.4944
Nb V Zn
4 4 2
direct
0.6766 0.8234 0.5000
0.3234 0.1766 0.5000
0.8234 0.3234 0.5000
0.1766 0.6766 0.5000
0.1251 0.3749 0.0000
0.6251 0.1251 0.0000
0.8749 0.6251 0.0000
0.3749 0.8749 0.0000
0.5000 0.5000 0.0000
0.0000 0.0000 0.0000

---

Respective theoretical density values: 10.7 7.9 13.5 7.3 8.3 7.2 g/cm³.